# SrIrSe (SCAN, single point on PBEsol structure)
# calculated total energy	-37.25	eV per atom
# formation energy without anion corrections	165	kJ/mol of formula units
data_SrIrSe
_chemical_formula_sum 'Sr4 Ir4 Se4'
_symmetry_space_group_name_H-M 'F -4 3 m'
_symmetry_Int_Tables_number 216
_symmetry_space_group_name_Hall 'F -4 2 3'
_cell_length_a 6.750
_cell_length_b 6.750
_cell_length_c 6.750
_cell_angle_alpha 90.00
_cell_angle_beta 90.00
_cell_angle_gamma 90.00
loop_
_atom_site_label
_atom_site_fract_x
_atom_site_fract_y
_atom_site_fract_z
Sr1 0.000 0.000 0.000
Ir1 0.250 0.250 0.250
Se1 0.250 0.250 0.750